{
  "formula": "BeGe2N",
  "functional": "PBE",
  "state": "relaxed",
  "lattice_angstrom": [[-2.504, 2.504, 4.740], [2.504, -2.504, 4.740], [2.504, 2.504, -4.740]],
  "species": ["Be", "Be", "Ge", "Ge", "Ge", "Ge", "N", "N"],
  "fractional_positions": [[0.000, 0.000, 0.000], [0.750, 0.250, 0.500], [0.160, 0.625, 0.035], [0.375, 0.410, 0.535], [0.590, 0.125, 0.965], [0.875, 0.840, 0.465], [0.250, 0.750, 0.500], [0.500, 0.500, 0.000]],
  "polymorph_energy_ev_per_atom": 0.0000,
  "total_energy_ev_per_atom": -4.9576
}

=====

{
  "formula": "InAgI2",
  "functional": "PBE",
  "state": "relaxed",
  "lattice_angstrom": [[5.687, 0.000, 0.000], [0.000, 5.687, 0.000], [0.000, 0.000, 4.003]],
  "species": ["In", "Ag", "I", "I"],
  "fractional_positions": [[0.000, 0.000, 0.000], [0.500, 0.500, 0.000], [0.000, 0.500, 0.500], [0.500, 0.000, 0.500]],
  "total_energy_ev_per_atom": -2.2776
}

=====

{
  "formula": "MgNbSnGe2",
  "functional": "PBE",
  "state": "relaxed",
  "lattice_angstrom": [[5.243, 0.000, 0.000], [0.000, 5.243, 0.000], [0.000, 0.000, 5.344]],
  "species": ["Mg", "Nb", "Sn", "Ge", "Ge"],
  "fractional_positions": [[0.000, 0.000, 0.000], [0.500, 0.500, 0.000], [0.500, 0.500, 0.500], [0.000, 0.500, 0.500], [0.500, 0.000, 0.500]],
  "total_energy_ev_per_atom": -3.8464,
  "e_form_mev_per_atom": 1134
}